[1]
Here is an optimized crystal structure of Bi2S2Br from Alexandria. Energies are from GGA-PBE.

E above lowest polymorph, eV per formula unit: 0.00
E_form (uncorrected), kJ/mol of formula units: -164
N(E_F), states/eV/cell: 2.232
Size of the total moment, μB/cell: 0.0
Raw total energy, eV/atom: -3.877

abc: 5.2645 7.6718 8.8762
angles: 66.57 75.60 72.31
Space group P-1 (No. 2)
Asymmetric unit:
Bi: 0.0379 0.0802 0.1880 (multiplicity 2)
Bi: 0.4416 0.6135 0.1905 (multiplicity 2)
S: 0.0970 0.2305 0.8570 (multiplicity 2)
S: 0.4603 0.2598 0.1374 (multiplicity 2)
Br: 0.2111 0.7372 0.5174 (multiplicity 2)

[2]
Here is an optimized crystal structure of TbNd5Sb4 from Alexandria. Energies are from GGA-PBE.

E_form (uncorrected), kJ/mol of formula units: -764
N(E_F), states/eV/cell: 13.869
Size of the total moment, μB/cell: 0.0
Raw total energy, eV/atom: -5.288

abc: 19.1905 4.4068 8.6905
angles: 90.00 105.08 90.00
Space group C2/m (No. 12)
Asymmetric unit:
Tb: 0.0000 0.0000 0.0000 (multiplicity 2)
Nd: 0.0000 0.0000 0.5000 (multiplicity 2)
Nd: 0.1647 0.5000 0.8285 (multiplicity 4)
Nd: 0.1733 0.5000 0.3476 (multiplicity 4)
Sb: 0.0053 0.5000 0.2500 (multiplicity 4)
Sb: 0.1673 0.0000 0.0880 (multiplicity 4)

[3]
Here is an optimized crystal structure of Rb3UTe6Pb2 from Alexandria. Energies are from GGA-PBE.

E_form (uncorrected), kJ/mol of formula units: -901
N(E_F), states/eV/cell: 0.878
Size of the total moment, μB/cell: 2.0
Raw total energy, eV/atom: -4.150

abc: 8.1479 14.0988 8.8279
angles: 90.00 107.92 90.00
Space group C2/m (No. 12)
Asymmetric unit:
Rb: 0.0000 0.0000 0.0000 (multiplicity 2)
Rb: 0.0000 0.3250 0.0000 (multiplicity 4)
U: 0.0000 0.5000 0.5000 (multiplicity 2)
Te: 0.2206 0.3456 0.6998 (multiplicity 8)
Te: 0.2393 0.5000 0.2976 (multiplicity 4)
Pb: 0.0000 0.1652 0.5000 (multiplicity 4)

[4]
Here is an optimized crystal structure of MnCdBi3 from Alexandria. Energies are from GGA-PBE.

E above lowest polymorph, eV per formula unit: 0.00
N(E_F), states/eV/cell: 2.528
Size of the total moment, μB/cell: 0.0
Raw total energy, eV/atom: -3.880
ΔH_f (0 K), meV/atom: 465

abc: 5.1792 5.1792 5.1792
angles: 90.00 90.00 90.00
Space group Pm-3m (No. 221)
Asymmetric unit:
Mn: 0.0000 0.0000 0.0000 (multiplicity 1)
Cd: 0.5000 0.5000 0.5000 (multiplicity 1)
Bi: 0.0000 0.0000 0.5000 (multiplicity 3)

[5]
Here is an optimized crystal structure of CaPm2Tl from Alexandria. Energies are from GGA-PBE.

E above lowest polymorph, eV per formula unit: 0.04
N(E_F), states/eV/cell: 4.106
Size of the total moment, μB/cell: 0.0
Raw total energy, eV/atom: -3.642
ΔH_f (0 K), meV/atom: -174

abc: 5.0140 5.0140 4.9533
angles: 90.00 90.00 90.00
Space group P4/mmm (No. 123)
Asymmetric unit:
Ca: 0.0000 0.0000 0.0000 (multiplicity 1)
Pm: 0.0000 0.5000 0.5000 (multiplicity 2)
Tl: 0.5000 0.5000 0.0000 (multiplicity 1)

[6]
Here is an optimized crystal structure of NaTeBr from Alexandria. Energies are from GGA-PBE.

E_form (uncorrected), kJ/mol of formula units: -224
N(E_F), states/eV/cell: 5.635
Size of the total moment, μB/cell: 0.0
Raw total energy, eV/atom: -2.818

abc: 5.1478 5.5474 19.3749
angles: 90.00 90.00 90.00
Space group Immm (No. 71)
Asymmetric unit:
Na: 0.0000 0.0000 0.2365 (multiplicity 4)
Te: 0.0000 0.2485 0.5000 (multiplicity 4)
Br: 0.0000 0.5000 0.1971 (multiplicity 4)